1.
! TaZn2Pd | the Alexandria database | PBE-GGA | optimized geometry; values from VASP
! formation energy	-0.0035	eV per atom
&SYSTEM
  ibrav = 0, nat = 4, ntyp = 3
/
ATOMIC_SPECIES
Zn 65.41 Zn.upf
Ta 180.95 Ta.upf
Pd 106.42 Pd.upf
CELL_PARAMETERS angstrom
0.4367 -3.8045 2.2054
-0.0699 -0.0132 4.4186
-3.4580 -1.7172 2.1500
ATOMIC_POSITIONS angstrom
Zn -0.7728 -1.3837 2.1935
Zn -2.3184 -4.1512 6.5804
Ta -1.5456 -2.7675 4.3870
Pd 0.0000 0.0000 0.0000

2.
! BaNbTe2 | the Alexandria database | PBE-GGA | optimized geometry; values from VASP
! formation energy without anion corrections	-0.341	eV per atom
&SYSTEM
  ibrav = 0, nat = 4, ntyp = 3
/
ATOMIC_SPECIES
Nb 92.91 Nb.upf
Te 127.60 Te.upf
Ba 137.33 Ba.upf
CELL_PARAMETERS angstrom
-9.7948 -2.6296 3.6154
-8.8811 0.2091 6.0833
-10.3883 1.0643 2.6220
ATOMIC_POSITIONS angstrom
Nb -14.5321 -0.6781 6.1603
Te -25.8473 -1.2060 10.9570
Te -3.2169 -0.1501 1.3637
Ba 0.0000 0.0000 0.0000

3.
! Cd2NiTe | the Alexandria database | PBE-GGA | optimized geometry; values from VASP
! formation energy without anion corrections	0.109	eV per atom
&SYSTEM
  ibrav = 0, nat = 4, ntyp = 3
/
ATOMIC_SPECIES
Ni 58.69 Ni.upf
Cd 112.41 Cd.upf
Te 127.60 Te.upf
CELL_PARAMETERS angstrom
3.1040 0.0221 0.0000
-0.0223 3.1040 0.0000
0.0000 0.0000 9.1967
ATOMIC_POSITIONS angstrom
Ni 1.5408 1.5631 2.2992
Cd 0.0000 0.0000 3.9179
Cd 0.0000 0.0000 0.6805
Te 1.5408 1.5631 6.8975

4.
! CsCeTe3 | the Alexandria database | PBE-GGA | optimized geometry; values from VASP
! formation energy without anion corrections	-1.029	eV per atom
&SYSTEM
  ibrav = 0, nat = 10, ntyp = 3
/
ATOMIC_SPECIES
Cs 132.91 Cs.upf
Te 127.60 Te.upf
Ce 140.12 Ce.upf
CELL_PARAMETERS angstrom
-3.0594 -2.1893 2.6129
5.7616 -7.8283 -3.8281
4.0092 5.3159 9.1486
ATOMIC_POSITIONS angstrom
Cs 0.5455 -1.5626 3.3442
Cs 6.1659 -3.1391 4.5892
Te 4.0564 -7.7892 2.2377
Te 3.6711 -3.1493 1.6596
Te 2.6550 3.0875 5.6957
Te 3.0403 -1.5524 6.2738
Te 3.5792 1.3134 9.3060
Te 3.1322 -6.0151 -1.3726
Ce 1.8947 -5.6363 1.5106
Ce 4.8167 0.9346 6.4228

5.
! Sm2TcH6 | the Alexandria database | PBE-GGA | optimized geometry; values from VASP
! E	-4.9671	eV/atom
&SYSTEM
  ibrav = 0, nat = 9, ntyp = 3
/
ATOMIC_SPECIES
H 1.01 H.upf
Sm 150.36 Sm.upf
Tc 98.00 Tc.upf
CELL_PARAMETERS angstrom
-0.0068 -3.9318 -3.2960
0.3790 -4.8102 1.7441
-4.0495 -3.1413 -0.2375
ATOMIC_POSITIONS angstrom
H -0.9097 -4.9224 -2.1125
H -2.7677 -6.9609 0.3231
H -2.9634 -6.5155 -2.2330
H -0.7175 -7.3618 -1.2280
H -2.9599 -4.5215 -0.5614
H -0.7140 -5.3678 0.4435
Sm -0.9194 -2.9708 -0.4474
Sm -2.7581 -8.9125 -1.3421
Tc 0.0000 0.0000 0.0000

6.
! SrTaSi2 | the Alexandria database | PBE-GGA | optimized geometry; values from VASP
! formation energy without anion corrections	0.321	eV per atom
&SYSTEM
  ibrav = 0, nat = 4, ntyp = 3
/
ATOMIC_SPECIES
Sr 87.62 Sr.upf
Si 28.09 Si.upf
Ta 180.95 Ta.upf
CELL_PARAMETERS angstrom
5.1843 0.0403 0.0000
-1.0565 5.0756 0.0000
0.0000 0.0000 2.9195
ATOMIC_POSITIONS angstrom
Sr 2.5921 0.0201 1.4598
Si 2.0639 2.5579 0.0000
Si 0.0000 0.0000 0.0000
Ta -0.5282 2.5378 1.4598

7.
! Ba2SbN3 | the Alexandria database | PBE-GGA | optimized geometry; values from VASP
! formation energy without anion corrections	-0.316	eV per atom
&SYSTEM
  ibrav = 0, nat = 24, ntyp = 3
/
ATOMIC_SPECIES
Ba 137.33 Ba.upf
Sb 121.76 Sb.upf
N 14.01 N.upf
CELL_PARAMETERS angstrom
-0.7281 3.9764 5.5164
-4.5588 -4.4943 -2.4065
5.3690 -9.4877 7.5477
ATOMIC_POSITIONS angstrom
Ba 1.0086 0.1888 7.8381
Ba -2.0569 -2.0141 2.2598
Ba 3.7163 -5.9332 11.4219
Ba -0.0679 -6.8662 4.8333
Ba 0.1499 -3.1393 5.8242
Ba -3.6342 -4.0723 -0.7643
Ba -0.9265 -10.1944 2.8194
Ba 2.1390 -7.9914 8.3977
Sb -0.7937 0.3464 4.8004
Sb 1.8586 -4.4687 8.5077
Sb -1.7765 -5.5368 2.1499
Sb 0.8758 -10.3519 5.8571
N 1.1203 -5.6485 7.0560
N 1.5931 -2.4758 8.3881
N 1.9599 -8.8928 4.8971
N -1.8778 -1.1127 5.7604
N -1.8252 0.6455 3.0967
N 1.9073 -10.6511 7.5609
N 0.7656 -0.8538 4.2055
N -0.6835 -9.1518 6.4521
N -0.2830 1.9285 5.9320
N 0.3651 -11.9340 4.7255
N -1.5110 -7.5297 2.2695
N -1.0382 -4.3571 3.6016

8.
! SmIn2Te4 | the Alexandria database | PBE-GGA | optimized geometry; values from VASP
! formation energy without anion corrections	-0.467	eV per atom
&SYSTEM
  ibrav = 0, nat = 7, ntyp = 3
/
ATOMIC_SPECIES
In 114.82 In.upf
Te 127.60 Te.upf
Sm 150.36 Sm.upf
CELL_PARAMETERS angstrom
6.9872 0.1898 0.0000
-3.1978 6.2154 0.0000
-1.8947 -3.2026 5.9170
ATOMIC_POSITIONS angstrom
In 3.4936 0.0949 2.9585
In -1.5989 3.1077 2.9585
Te 0.6068 -0.3590 2.8777
Te 1.2878 3.5616 3.0393
Te 4.5105 1.6550 0.7051
Te -2.6158 1.5475 5.2119
Sm 1.8947 3.2026 0.0000

9.
! LaCr3 | the Alexandria database | PBE-GGA | optimized geometry; values from VASP
! formation energy	0.5561	eV per atom
&SYSTEM
  ibrav = 0, nat = 4, ntyp = 2
/
ATOMIC_SPECIES
Cr 52.00 Cr.upf
La 138.91 La.upf
CELL_PARAMETERS angstrom
2.9307 0.0000 0.0039
0.0000 3.6083 0.0000
1.3757 0.0000 6.5992
ATOMIC_POSITIONS angstrom
Cr 1.0766 1.8042 1.6508
Cr 2.1433 0.0000 2.6434
Cr 2.9405 0.0000 0.6620
La 3.2297 1.8042 4.9523

10.
! MnSn3Br8 | the Alexandria database | PBE-GGA | optimized geometry; values from VASP
! formation energy without anion corrections	-0.758	eV per atom
&SYSTEM
  ibrav = 0, nat = 12, ntyp = 3
/
ATOMIC_SPECIES
Mn 54.94 Mn.upf
Br 79.90 Br.upf
Sn 118.71 Sn.upf
CELL_PARAMETERS angstrom
-1.0139 8.3788 1.4443
-4.9300 -3.9788 -5.7609
-0.9672 -1.5501 8.3135
ATOMIC_POSITIONS angstrom
Mn 0.0000 0.0000 0.0000
Br -3.4621 3.9112 0.2617
Br -4.2353 3.1040 4.4015
Br -5.9010 -3.2911 1.0113
Br -3.4490 -1.0612 3.7352
Br -1.0101 6.1410 2.9856
Br -6.4578 1.3102 1.8044
Br -2.6759 -0.2541 -0.4046
Br -0.4533 1.5398 2.1925
Sn -0.5070 4.1894 0.7221
Sn -2.9720 2.2000 -2.1583
Sn -2.4650 -1.9894 -2.8804

11.
! Ba3Li3Pb8 | the Alexandria database | PBE-GGA | optimized geometry; values from VASP
! formation energy	-0.3917	eV per atom
&SYSTEM
  ibrav = 0, nat = 14, ntyp = 3
/
ATOMIC_SPECIES
Pb 207.20 Pb.upf
Li 6.94 Li.upf
Ba 137.33 Ba.upf
CELL_PARAMETERS angstrom
-0.6498 -5.1567 -0.5280
5.5986 -2.5625 -7.7074
8.4177 -4.0020 2.8814
ATOMIC_POSITIONS angstrom
Pb 7.9628 -8.3376 -5.9047
Pb 2.1214 -2.9468 0.3241
Pb 11.2451 -8.7744 -5.6781
Pb 5.4037 -3.3836 0.5506
Pb 9.0820 -8.9662 -1.1436
Pb 6.0685 -5.5832 -4.6295
Pb 4.2844 -2.7550 -4.2105
Pb 7.2980 -6.1380 -0.7246
Li 11.7060 -9.1295 -2.7773
Li 7.0081 -3.2822 -2.4130
Li 1.6604 -2.5917 -2.5768
Ba 3.7405 -5.5759 -1.8364
Ba 9.6259 -6.1453 -3.5177
Ba 0.0000 0.0000 0.0000

12.
! SiOsPt2 | the Alexandria database | PBE-GGA | optimized geometry; values from VASP
! formation energy without anion corrections	0.506	eV per atom
&SYSTEM
  ibrav = 0, nat = 8, ntyp = 3
/
ATOMIC_SPECIES
Os 190.23 Os.upf
Si 28.09 Si.upf
Pt 195.08 Pt.upf
CELL_PARAMETERS angstrom
4.7086 0.0000 0.0000
0.0000 4.7086 0.0000
2.3543 2.3543 6.9704
ATOMIC_POSITIONS angstrom
Os 4.7086 2.3543 3.4852
Os 0.0000 0.0000 0.0000
Si 2.3543 4.7086 3.4852
Si 2.3543 2.3543 0.0000
Pt 5.8858 5.7490 5.2278
Pt 3.3947 1.1772 1.7426
Pt 3.5315 3.6682 5.2278
Pt 1.3139 3.5315 1.7426